Entry 1:
A plane-wave DFT calculation with PBE was carried out for a relaxed structure of TiCo2HRu.

Cell: 3.673 3.673 3.832 Å, 90.00 90.00 90.00°
Space group P4/mmm (No. 123)
Inequivalent atoms, fractional coordinates:
Ti1 0.000 0.000 0.000 (multiplicity 1)
Co1 0.000 0.500 0.500 (multiplicity 2)
H1 0.500 0.500 0.500 (multiplicity 1)
Ru1 0.500 0.500 0.000 (multiplicity 1)

Summary:
* energy relative to the lowest polymorph listed for this composition: 0 meV per atom

---

Entry 2:
A plane-wave DFT calculation with PBE was carried out for a relaxed structure of Li2H5Pd3.

Cell: 5.931 12.325 5.401 Å, 90.00 90.00 90.00°
Space group Ibam (No. 72)
Inequivalent atoms, fractional coordinates:
Li1 0.164 0.182 0.000 (multiplicity 8)
H1 0.000 0.302 0.250 (multiplicity 8)
H2 0.000 0.500 0.250 (multiplicity 4)
H3 0.193 0.000 0.000 (multiplicity 8)
Pd1 0.000 0.000 0.250 (multiplicity 4)
Pd2 0.079 0.392 0.000 (multiplicity 8)

Summary:
* electronic total energy: -152.38 eV for the cell shown

---

Entry 3:
A plane-wave DFT calculation with PBE was carried out for a relaxed structure of Tb2InS6.

Cell: 6.917 7.485 10.462 Å, 90.00 130.38 90.00°
Space group P2_1/c (No. 14)
Inequivalent atoms, fractional coordinates:
Tb1 0.223 0.123 0.240 (multiplicity 4)
In1 0.500 0.000 0.000 (multiplicity 2)
S1 0.081 0.182 0.902 (multiplicity 4)
S2 0.233 0.686 0.908 (multiplicity 4)
S3 0.422 0.068 0.737 (multiplicity 4)

Summary:
* formation energy (no corrections): -1.01 eV/atom

---

Entry 4:
A plane-wave DFT calculation with PBE was carried out for a relaxed structure of Ca2CrPdN.

Cell: 5.031 5.031 3.769 Å, 90.00 90.00 90.00°
Space group P4/mmm (No. 123)
Inequivalent atoms, fractional coordinates:
Ca1 0.000 0.500 0.000 (multiplicity 2)
Cr1 0.000 0.000 0.500 (multiplicity 1)
Pd1 0.500 0.500 0.500 (multiplicity 1)
N1 0.000 0.000 0.000 (multiplicity 1)

Summary:
* energy relative to the lowest polymorph listed for this composition: 0 meV per atom
* formation energy (no corrections): -0.55 eV/atom

---

Entry 5:
A plane-wave DFT calculation with PBE was carried out for a relaxed structure of CdTcSeBr2.

Cell: 5.259 5.259 4.766 Å, 90.00 90.00 90.00°
Space group P4/mmm (No. 123)
Inequivalent atoms, fractional coordinates:
Cd1 0.000 0.000 0.000 (multiplicity 1)
Tc1 0.500 0.500 0.500 (multiplicity 1)
Se1 0.500 0.500 0.000 (multiplicity 1)
Br1 0.000 0.500 0.500 (multiplicity 2)

Summary:
* energy relative to the lowest polymorph listed for this composition: 0 meV per atom
* formation energy (no corrections): 0.10 eV/atom

---

Entry 6:
A plane-wave DFT calculation with PBE was carried out for a relaxed structure of K9Co2S7.

Cell: 12.824 12.824 12.824 Å, 90.00 90.00 90.00°
Space group Pa-3 (No. 205)
Inequivalent atoms, fractional coordinates:
K1 0.000 0.000 0.000 (multiplicity 4)
K2 0.059 0.718 0.062 (multiplicity 24)
K3 0.169 0.169 0.169 (multiplicity 8)
Co1 0.188 0.688 0.812 (multiplicity 8)
S1 0.000 0.000 0.500 (multiplicity 4)
S2 0.083 0.678 0.324 (multiplicity 24)

Summary:
* formation energy (no corrections): -0.89 eV/atom